DFT (PBE) results for an optimized crystal structure of Cs2Pb2Se3.

abc: 4.687 9.028 8.751
angles: 117.15 105.53 90.00
Element x y z (fractional)
Pb 0.170 0.312 0.340
Pb 0.830 0.688 0.660
Se 0.770 0.288 0.540
Se 0.000 0.000 0.000
Se 0.230 0.712 0.460
Cs 0.602 0.842 0.205
Cs 0.398 0.158 0.795

Properties
* energy relative to the lowest polymorph listed for this composition: 0.021 eV/atom
* energy relative to the elements, uncorrected: -0.79 eV per atom
* magnetic moment: 0.00 μB per cell